Material: K2Zn2Sb2H
Method: DFT, PBE-GGA
State: relaxed

It has space group C2/m (No. 12), with a = 12.336 Å, b = 4.600 Å, c = 8.238 Å, α = 90.00°, β = 126.53° and γ = 90.00°. The distinct sites, in fractional coordinates, are K at (0.054, 0.000, 0.310), Zn at (0.170, 0.500, 0.078), Sb at (0.190, 0.500, 0.760) and H at (0.000, 0.500, 0.000).

Material: KScH3
Method: DFT, PBE-GGA
State: relaxed

It has space group Pm-3m (No. 221), with a = 4.107 Å, b = 4.107 Å, c = 4.107 Å, α = 90.00°, β = 90.00° and γ = 90.00°. The distinct sites, in fractional coordinates, are K at (0.000, 0.000, 0.000), Sc at (0.500, 0.500, 0.500) and H at (0.000, 0.500, 0.500).

The value obtained for the energy above the most stable polymorph in this dataset is 0.000 eV/atom.

Material: KScH3
Method: DFT, PBE-GGA
State: relaxed

It has space group Pm-3m (No. 221), with a = 4.290 Å, b = 4.290 Å, c = 4.290 Å, α = 90.00°, β = 90.00° and γ = 90.00°. The distinct sites, in fractional coordinates, are K at (0.000, 0.000, 0.000), Sc at (0.500, 0.500, 0.500) and H at (0.000, 0.000, 0.500).

The value obtained for the energy above the most stable polymorph in this dataset is 0.975 eV/atom.

Material: KSc2H
Method: DFT, PBE-GGA
State: relaxed

It has space group I-42d (No. 122), with a = 6.691 Å, b = 6.691 Å, c = 9.450 Å, α = 90.00°, β = 90.00° and γ = 90.00°. The distinct sites, in fractional coordinates, are K at (0.000, 0.000, 0.000), Sc at (0.002, 0.250, 0.625) and H at (0.000, 0.000, 0.500).

The value obtained for the energy above the most stable polymorph in this dataset is 0.000 eV/atom.

Material: KSc2H
Method: DFT, PBE-GGA
State: relaxed

It has space group Fm-3m (No. 225), with a = 7.375 Å, b = 7.375 Å, c = 7.375 Å, α = 90.00°, β = 90.00° and γ = 90.00°. The distinct sites, in fractional coordinates, are K at (0.000, 0.000, 0.000), Sc at (0.250, 0.250, 0.250) and H at (0.000, 0.000, 0.500).

The value obtained for the energy above the most stable polymorph in this dataset is 0.987 eV/atom.

Material: KSc2H
Method: DFT, PBE-GGA
State: relaxed

It has space group R-3m (No. 166, hexagonal axes), with a = 3.4518 Å, b = 3.4518 Å, c = 31.1715 Å, α = 90.00°, β = 90.00° and γ = 120.00°. The distinct sites, in fractional coordinates, are K at (0.0000, 0.0000, 0.0000), Sc at (0.0000, 0.0000, 0.4423) and H at (0.0000, 0.0000, 0.5000).

The value obtained for the energy above the most stable polymorph in this dataset is 0.217 eV/atom.

Material: KScH
Method: DFT, PBE-GGA
State: relaxed

It has space group Amm2 (No. 38), with a = 13.098 Å, b = 3.439 Å, c = 5.953 Å, α = 90.00°, β = 90.00° and γ = 90.00°. The distinct sites, in fractional coordinates, are K at (0.135, 0.000, 0.000), Sc at (0.393, 0.000, 0.339), H at (0.000, 0.000, 0.333) and H at (0.500, 0.000, 0.005).

Material: K2ScH6
Method: DFT, PBE-GGA
State: relaxed

It has space group Fm-3m (No. 225), with a = 8.382 Å, b = 8.382 Å, c = 8.382 Å, α = 90.00°, β = 90.00° and γ = 90.00°. The distinct sites, in fractional coordinates, are K at (0.250, 0.250, 0.250), Sc at (0.000, 0.000, 0.000) and H at (0.000, 0.000, 0.235).

Material: K2ScTcH
Method: DFT, PBE-GGA
State: relaxed

It has space group P4/mmm (No. 123), with a = 6.668 Å, b = 6.668 Å, c = 3.522 Å, α = 90.00°, β = 90.00° and γ = 90.00°. The distinct sites, in fractional coordinates, are K at (0.000, 0.500, 0.000), Sc at (0.000, 0.000, 0.000), Tc at (0.500, 0.500, 0.500) and H at (0.000, 0.000, 0.500).

Material: K2HSe
Method: DFT, PBE-GGA
State: relaxed

It has space group Pmmn (No. 59, origin choice 2), with a = 4.883 Å, b = 5.083 Å, c = 8.757 Å, α = 90.00°, β = 90.00° and γ = 90.00°. The distinct sites, in fractional coordinates, are K at (0.250, 0.250, 0.023), K at (0.250, 0.750, 0.622), H at (0.250, 0.250, 0.737) and Se at (0.250, 0.750, 0.250).

The value obtained for the energy above the most stable polymorph in this dataset is 0.046 eV/atom.

Material: KHSe
Method: DFT, PBE-GGA
State: relaxed

It has space group C2/m (No. 12), with a = 12.546 Å, b = 3.521 Å, c = 8.815 Å, α = 90.00°, β = 134.61° and γ = 90.00°. The distinct sites, in fractional coordinates, are K at (0.226, 0.000, 0.226), H at (0.003, 0.000, 0.296) and Se at (0.000, 0.500, 0.242).

Material: KH3Se
Method: DFT, PBE-GGA
State: relaxed

It has space group Pm-3m (No. 221), with a = 4.174 Å, b = 4.174 Å, c = 4.174 Å, α = 90.00°, β = 90.00° and γ = 90.00°. The distinct sites, in fractional coordinates, are K at (0.000, 0.000, 0.000), H at (0.000, 0.000, 0.500) and Se at (0.500, 0.500, 0.500).

The value obtained for the energy above the most stable polymorph in this dataset is 1.594 eV/atom.

| no. | electronic total energy (eV per cell) |
| --- | --- |
| 1 | -36.19 |
| 2 | -18.87 |
| 3 | -14.00 |
| 4 | -64.69 |
| 5 | -48.89 |
| 6 | -45.91 |
| 7 | -40.90 |
| 8 | -111.71 |
| 9 | -15.90 |
| 10 | -21.60 |
| 11 | -37.91 |
| 12 | -8.69 |